[1]
# Rb2YCoSe

A geometry-optimized Rb2YCoSe structure (GGA-PBE, the Alexandria database).

Summary:
Energy relative to the elements, uncorrected = 0.4635 eV per atom
Size of the total moment = 0.0 μB per cell
D(E_F) = 1.1020 states/eV/atom
Density = 3.32 g/cm3
E = -3.334 eV per atom

Lattice parameters (Å, degrees): 6.793 6.793 4.313 90.00 90.00 90.00
Space group P4/mmm (No. 123)
One atom of each set of equivalent atoms:
Rb: 0.000 0.500 0.000 (multiplicity 2)
Y: 0.000 0.000 0.500 (multiplicity 1)
Co: 0.500 0.500 0.500 (multiplicity 1)
Se: 0.500 0.500 0.000 (multiplicity 1)



[2]
# MgTaIrRu

A geometry-optimized MgTaIrRu structure (GGA-PBE, the Alexandria database).

Summary:
E_form = -2.2 eV/f.u.
Size of the total moment = 0.0 μB per cell
D(E_F) = 0.1630 states/eV/atom
Density = 13.38 g/cm3
E = -8.455 eV per atom

Lattice parameters (Å, degrees): 6.278 6.278 6.278 90.00 90.00 90.00
Space group F-43m (No. 216)
One atom of each set of equivalent atoms:
Mg: 0.000 0.000 0.000 (multiplicity 4)
Ta: 0.000 0.000 0.500 (multiplicity 4)
Ir: 0.250 0.250 0.250 (multiplicity 4)
Ru: 0.250 0.250 0.750 (multiplicity 4)